# 1
# PBE HfGaTc, relaxed
# excess energy over the best structure of this formula in the dataset	0.121	eV per atom
# ΔH_f (0 K)	-340.8	meV per atom
# space-group type	P-3m1, No. 164
# DFT total energy	-8.123	eV/atom
data_HfGaTc
_cell_length_a 4.4697
_cell_length_b 4.4697
_cell_length_c 5.8079
_cell_angle_alpha 90.00
_cell_angle_beta 90.00
_cell_angle_gamma 120.00
_symmetry_space_group_name_H-M 'P 1'
_symmetry_Int_Tables_number 1
loop_
_symmetry_equiv_pos_as_xyz
'x,y,z'
loop_
_atom_site_label
_atom_site_type_symbol
_atom_site_fract_x
_atom_site_fract_y
_atom_site_fract_z
Hf1 Hf 0.0000 0.0000 0.5000
Tc1 Tc 0.3333 0.6667 0.1969
Hf2 Hf 0.0000 0.0000 0.0000
Ga1 Ga 0.6667 0.3333 0.2778
Tc2 Tc 0.6667 0.3333 0.8031
Ga2 Ga 0.3333 0.6667 0.7222

***

# 2
# PBE TmSiPt, relaxed
# space-group type	Imm2, No. 44
# DFT total energy	-6.536	eV/atom
# energy relative to the elements, uncorrected	-3.67	eV per formula unit
data_TmSiPt
_cell_length_a 4.2646
_cell_length_b 7.4087
_cell_length_c 11.2418
_cell_angle_alpha 109.24
_cell_angle_beta 100.93
_cell_angle_gamma 90.00
_symmetry_space_group_name_H-M 'P 1'
_symmetry_Int_Tables_number 1
loop_
_symmetry_equiv_pos_as_xyz
'x,y,z'
loop_
_atom_site_label
_atom_site_type_symbol
_atom_site_fract_x
_atom_site_fract_y
_atom_site_fract_z
Tm1 Tm 0.1683 0.6192 0.3365
Tm2 Tm 0.8317 0.2826 0.6635
Tm3 Tm 0.6664 0.2093 0.3328
Si1 Si 0.4019 0.5572 0.8038
Si2 Si 0.0624 0.2167 0.1247
Si3 Si 0.9376 0.0920 0.8753
Pt1 Pt 0.2649 0.4282 0.5298
Pt2 Pt 0.1034 0.9334 0.2068
Tm4 Tm 0.0000 0.5392 0.0000
Tm5 Tm 0.5000 0.9480 0.0000
Pt3 Pt 0.4275 0.2536 0.8550
Pt4 Pt 0.5725 0.3987 0.1450
Si4 Si 0.5981 0.7533 0.1962
Si5 Si 0.2290 0.0648 0.4580
Si6 Si 0.7710 0.6068 0.5420
Pt5 Pt 0.7351 0.8985 0.4702
Tm6 Tm 0.3336 0.8765 0.6672
Pt6 Pt 0.8966 0.7265 0.7932

***

# 3
# PBE Li4Ag2Pt, relaxed
# excess energy over the best structure of this formula in the dataset	0.032	eV per atom
# ΔH_f (0 K)	-222.6	meV per atom
# space-group type	C2/m, No. 12
# DFT total energy	-2.994	eV/atom
data_Li4Ag2Pt
_cell_length_a 2.7940
_cell_length_b 6.6564
_cell_length_c 7.2776
_cell_angle_alpha 118.51
_cell_angle_beta 101.07
_cell_angle_gamma 90.00
_symmetry_space_group_name_H-M 'P 1'
_symmetry_Int_Tables_number 1
loop_
_symmetry_equiv_pos_as_xyz
'x,y,z'
loop_
_atom_site_label
_atom_site_type_symbol
_atom_site_fract_x
_atom_site_fract_y
_atom_site_fract_z
Li1 Li 0.0834 0.7440 0.1669
Pt1 Pt 0.0000 0.0000 0.0000
Li2 Li 0.9166 0.2560 0.8331
Li3 Li 0.3722 0.6347 0.7445
Ag1 Ag 0.2332 0.1778 0.4665
Ag2 Ag 0.7668 0.8222 0.5335
Li4 Li 0.6278 0.3653 0.2555

***

# 4
# PBE CaRhBr, relaxed
# excess energy over the best structure of this formula in the dataset	0.000	eV per atom
# space-group type	P-1, No. 2
# DFT total energy	-4.686	eV/atom
# energy relative to the elements, uncorrected	-3.03	eV per formula unit
data_CaRhBr
_cell_length_a 4.1169
_cell_length_b 4.1159
_cell_length_c 11.3954
_cell_angle_alpha 100.70
_cell_angle_beta 90.88
_cell_angle_gamma 116.04
_symmetry_space_group_name_H-M 'P 1'
_symmetry_Int_Tables_number 1
loop_
_symmetry_equiv_pos_as_xyz
'x,y,z'
loop_
_atom_site_label
_atom_site_type_symbol
_atom_site_fract_x
_atom_site_fract_y
_atom_site_fract_z
Ca1 Ca 0.1491 0.2232 0.4340
Rh1 Rh 0.7632 0.4110 0.2350
Rh2 Rh 0.4067 0.7713 0.2389
Br1 Br 0.8509 0.6648 0.5788
Br2 Br 0.3202 0.5177 0.8951
Ca2 Ca 0.0220 0.9594 0.0399

***

# 5
# PBE PrPu3I8, relaxed
# space-group type	C2/m, No. 12
# DFT total energy	-6.105	eV/atom
# energy relative to the elements, uncorrected	-13.09	eV per formula unit
data_PrPu3I8
_cell_length_a 8.6725
_cell_length_b 8.8328
_cell_length_c 9.3738
_cell_angle_alpha 118.96
_cell_angle_beta 90.00
_cell_angle_gamma 119.40
_symmetry_space_group_name_H-M 'P 1'
_symmetry_Int_Tables_number 1
loop_
_symmetry_equiv_pos_as_xyz
'x,y,z'
loop_
_atom_site_label
_atom_site_type_symbol
_atom_site_fract_x
_atom_site_fract_y
_atom_site_fract_z
I1 I 0.7488 0.4976 0.2466
I2 I 0.2512 0.5024 0.7534
Pu1 Pu 0.5000 0.0000 0.0000
I3 I 0.7489 0.0021 0.7501
I4 I 0.2531 0.0021 0.7501
Pu2 Pu 0.0000 0.5000 0.0000
I5 I 0.2506 0.5012 0.2485
I6 I 0.7469 0.9979 0.2499
Pr1 Pr 0.0000 0.0000 0.0000
I7 I 0.2511 0.9979 0.2499
Pu3 Pu 0.5000 0.5000 0.0000
I8 I 0.7494 0.4988 0.7515

***

# 6
# PBE Be2PtF, relaxed
# excess energy over the best structure of this formula in the dataset	0.096	eV per atom
# space-group type	P-1, No. 2
# DFT total energy	-5.202	eV/atom
# energy relative to the elements, uncorrected	-5.44	eV per formula unit
data_Be2PtF
_cell_length_a 2.7751
_cell_length_b 5.5474
_cell_length_c 7.1979
_cell_angle_alpha 96.02
_cell_angle_beta 97.74
_cell_angle_gamma 90.02
_symmetry_space_group_name_H-M 'P 1'
_symmetry_Int_Tables_number 1
loop_
_symmetry_equiv_pos_as_xyz
'x,y,z'
loop_
_atom_site_label
_atom_site_type_symbol
_atom_site_fract_x
_atom_site_fract_y
_atom_site_fract_z
Be1 Be 0.5643 0.4808 0.6843
Be2 Be 0.5642 0.0697 0.6831
F1 F 0.3823 0.7047 0.1631
Pt1 Pt 0.9764 0.2409 0.4325
Be3 Be 0.4357 0.5192 0.3157
Be4 Be 0.4358 0.9303 0.3169
F2 F 0.6177 0.2953 0.8369
Pt2 Pt 0.0236 0.7591 0.5675

***

# 7
# PBE Ho2Pd2O7, relaxed
# excess energy over the best structure of this formula in the dataset	0.000	eV per atom
# space-group type	Fd-3m, No. 227
# DFT total energy	-6.859	eV/atom
# energy relative to the elements, uncorrected	-21.20	eV per formula unit
data_Ho2Pd2O7
_cell_length_a 7.2297
_cell_length_b 7.2297
_cell_length_c 7.2297
_cell_angle_alpha 60.00
_cell_angle_beta 60.00
_cell_angle_gamma 60.00
_symmetry_space_group_name_H-M 'P 1'
_symmetry_Int_Tables_number 1
loop_
_symmetry_equiv_pos_as_xyz
'x,y,z'
loop_
_atom_site_label
_atom_site_type_symbol
_atom_site_fract_x
_atom_site_fract_y
_atom_site_fract_z
O1 O 0.7840 0.2160 0.2160
O2 O 0.0340 0.0340 0.4660
Ho1 Ho 0.6250 0.1250 0.6250
O3 O 0.0340 0.4660 0.0340
O4 O 0.4660 0.4660 0.0340
O5 O 0.4660 0.0340 0.4660
Ho2 Ho 0.1250 0.6250 0.6250
O6 O 0.2160 0.7840 0.2160
O7 O 0.4660 0.0340 0.0340
Pd1 Pd 0.1250 0.1250 0.6250
O8 O 0.7840 0.2160 0.7840
Ho3 Ho 0.6250 0.6250 0.1250
O9 O 0.0340 0.4660 0.4660
O10 O 0.7500 0.7500 0.7500
Pd2 Pd 0.1250 0.1250 0.1250
Pd3 Pd 0.6250 0.1250 0.1250
O11 O 0.5000 0.5000 0.5000
O12 O 0.7840 0.7840 0.2160
O13 O 0.2160 0.2160 0.7840
Pd4 Pd 0.1250 0.6250 0.1250
O14 O 0.2160 0.7840 0.7840
Ho4 Ho 0.6250 0.6250 0.6250

***

# 8
# PBE HfCrSn2W, relaxed
# ΔH_f (0 K)	1173.2	meV per atom
# space-group type	P4/mmm, No. 123
# DFT total energy	-6.934	eV/atom
data_HfCrSn2W
_cell_length_a 4.9177
_cell_length_b 4.6865
_cell_length_c 4.9177
_cell_angle_alpha 90.00
_cell_angle_beta 90.00
_cell_angle_gamma 90.00
_symmetry_space_group_name_H-M 'P 1'
_symmetry_Int_Tables_number 1
loop_
_symmetry_equiv_pos_as_xyz
'x,y,z'
loop_
_atom_site_label
_atom_site_type_symbol
_atom_site_fract_x
_atom_site_fract_y
_atom_site_fract_z
Hf1 Hf 0.0000 0.5000 0.0000
Sn1 Sn 0.0000 0.0000 0.5000
Cr1 Cr 0.0000 0.0000 0.0000
Sn2 Sn 0.5000 0.0000 0.0000
W1 W 0.5000 0.5000 0.5000

***

# 9
# PBE TiSbTe2Os, relaxed
# excess energy over the best structure of this formula in the dataset	0.312	eV per atom
# space-group type	P4/mmm, No. 123
# DFT total energy	-4.734	eV/atom
# energy relative to the elements, uncorrected	5.86	eV per formula unit
data_TiSbTe2Os
_cell_length_a 5.1716
_cell_length_b 5.1716
_cell_length_c 5.2390
_cell_angle_alpha 90.00
_cell_angle_beta 90.00
_cell_angle_gamma 90.00
_symmetry_space_group_name_H-M 'P 1'
_symmetry_Int_Tables_number 1
loop_
_symmetry_equiv_pos_as_xyz
'x,y,z'
loop_
_atom_site_label
_atom_site_type_symbol
_atom_site_fract_x
_atom_site_fract_y
_atom_site_fract_z
Ti1 Ti 0.0000 0.0000 0.0000
Te1 Te 0.5000 0.0000 0.0000
Sb1 Sb 0.0000 0.0000 0.5000
Te2 Te 0.0000 0.5000 0.0000
Os1 Os 0.5000 0.5000 0.5000

***

# 10
# PBE SrHgI4, relaxed
# excess energy over the best structure of this formula in the dataset	0.000	eV per atom
# space-group type	P2_1/c, No. 14
# DFT total energy	-2.311	eV/atom
# energy relative to the elements, uncorrected	-5.68	eV per formula unit
data_SrHgI4
_cell_length_a 4.6566
_cell_length_b 8.0998
_cell_length_c 15.2663
_cell_angle_alpha 86.88
_cell_angle_beta 90.00
_cell_angle_gamma 90.00
_symmetry_space_group_name_H-M 'P 1'
_symmetry_Int_Tables_number 1
loop_
_symmetry_equiv_pos_as_xyz
'x,y,z'
loop_
_atom_site_label
_atom_site_type_symbol
_atom_site_fract_x
_atom_site_fract_y
_atom_site_fract_z
I1 I 0.0010 0.3215 0.1217
I2 I 0.9990 0.6785 0.8783
Hg1 Hg 0.0000 0.0000 0.0000
Hg2 Hg 0.5000 0.5000 0.5000
I3 I 0.5010 0.1785 0.3783
I4 I 0.6163 0.1558 0.8838
I5 I 0.8837 0.6558 0.3838
I6 I 0.1163 0.3442 0.6162
Sr1 Sr 0.0000 0.0000 0.5000
I7 I 0.3837 0.8442 0.1162
I8 I 0.4990 0.8215 0.6217
Sr2 Sr 0.5000 0.5000 0.0000

***

# 11
# PBE HfNpOsRh, relaxed
# ΔH_f (0 K)	-322.6	meV per atom
# space-group type	F-43m, No. 216
# DFT total energy	-10.691	eV/atom
data_HfNpOsRh
_cell_length_a 4.7117
_cell_length_b 4.7117
_cell_length_c 4.7117
_cell_angle_alpha 60.00
_cell_angle_beta 60.00
_cell_angle_gamma 60.00
_symmetry_space_group_name_H-M 'P 1'
_symmetry_Int_Tables_number 1
loop_
_symmetry_equiv_pos_as_xyz
'x,y,z'
loop_
_atom_site_label
_atom_site_type_symbol
_atom_site_fract_x
_atom_site_fract_y
_atom_site_fract_z
Rh1 Rh 0.0000 0.0000 0.0000
Np1 Np 0.2500 0.2500 0.2500
Hf1 Hf 0.7500 0.7500 0.7500
Os1 Os 0.5000 0.5000 0.5000

***

# 12
# PBE SbP2Os, relaxed
# space-group type	P2/m, No. 10
# DFT total energy	-6.432	eV/atom
# energy relative to the elements, uncorrected	0.44	eV per formula unit
data_SbP2Os
_cell_length_a 3.9154
_cell_length_b 4.2922
_cell_length_c 4.5644
_cell_angle_alpha 74.10
_cell_angle_beta 90.00
_cell_angle_gamma 90.00
_symmetry_space_group_name_H-M 'P 1'
_symmetry_Int_Tables_number 1
loop_
_symmetry_equiv_pos_as_xyz
'x,y,z'
loop_
_atom_site_label
_atom_site_type_symbol
_atom_site_fract_x
_atom_site_fract_y
_atom_site_fract_z
P1 P 0.0000 0.9988 0.8860
Sb1 Sb 0.5000 0.2500 0.2500
Os1 Os 0.5000 0.7500 0.7500
P2 P 0.0000 0.5012 0.6140

***

Number 1: mass density 11.44 g cm⁻³. Number 2: mass density 11.89 g cm⁻³. Number 3: mass density 6.27 g cm⁻³. Number 4: mass density 4.37 g cm⁻³. Number 5: mass density 6.03 g cm⁻³. Number 6: mass density 7.06 g cm⁻³. Number 7: mass density 8.14 g cm⁻³. Number 8: mass density 9.55 g cm⁻³. Number 9: mass density 7.29 g cm⁻³. Number 10: mass density 4.60 g cm⁻³. Number 11: mass density 15.91 g cm⁻³. Number 12: mass density 8.42 g cm⁻³.